1.
This record from Alexandria describes crystalline KMnCdSe3 at its relaxed geometry. The functional is PBE.

Geometry as extended XYZ:
```
12
Lattice="-2.6668 -0.1033 -2.7687 -2.4890 -6.8037 2.6512 -6.0365 8.9987 5.4786" Properties=species:S:1:pos:R:3 pbc="T T T"
Se -5.3850 -0.7850 3.8808
Se -5.2096 -4.6452 1.1853
Se -5.9827 6.7368 4.1759
Se -3.7924 -2.0447 -0.2768
Se -7.3999 4.1364 5.6379
Se -5.8073 2.8767 1.4804
Mn -8.1965 5.5782 3.6809
Mn -2.9958 -3.4866 1.6803
Cd -4.6744 4.7448 2.9900
Cd -6.5179 -2.6531 2.3712
K -3.2310 0.6735 1.7516
K -7.9614 1.4182 3.6096
```

Properties
**M_tot**: 0.67 μB per atom
**Raw formation energy**: -4.10 eV per formula unit


2.
This record from Alexandria describes crystalline Hg2OsW at its relaxed geometry. The functional is PBE.

Geometry as extended XYZ:
```
4
Lattice="2.8839 -0.0321 0.0000 -1.3897 2.5272 0.0000 0.0000 0.0000 9.9729" Properties=species:S:1:pos:R:3 pbc="T T T"
Hg 0.0000 0.0000 0.0448
Hg 0.0000 0.0000 4.9417
Os 0.7471 1.2475 2.4932
W 0.7471 1.2475 7.4796
```

Properties
**M_tot**: 0.00 μB per atom
**Polymorph energy (0 for the lowest one)**: 0.5782 eV/atom
**Energy of formation**: 22.7 kcal/mol of atoms


3.
This record from Alexandria describes crystalline Zn4RuAu at its relaxed geometry. The functional is PBE.

Geometry as extended XYZ:
```
6
Lattice="0.0000 3.5211 3.5211 3.5211 0.0000 3.5211 3.5211 3.5211 0.0000" Properties=species:S:1:pos:R:3 pbc="T T T"
Zn 2.6374 2.6374 4.4048
Zn 4.4048 2.6374 2.6374
Zn 4.4048 4.4048 4.4048
Zn 2.6374 4.4048 2.6374
Au 1.7605 1.7605 1.7605
Ru 0.0000 0.0000 0.0000
```

Properties
**M_tot**: 0.00 μB per atom
**Polymorph energy (0 for the lowest one)**: 0.1316 eV/atom
**Energy of formation**: 1.7 kcal/mol of atoms


4.
This record from Alexandria describes crystalline Ca2AgAs at its relaxed geometry. The functional is PBE.

Geometry as extended XYZ:
```
8
Lattice="6.4402 0.0000 0.0000 0.0000 6.4402 0.0000 3.2201 3.2201 7.4431" Properties=species:S:1:pos:R:3 pbc="T T T"
Ca 1.8736 4.8302 1.8608
Ca 4.5666 1.6101 1.8608
Ca 8.0503 7.7867 5.5823
Ca 4.8302 5.0937 5.5823
Ag 6.4402 3.2201 3.7216
Ag 0.0000 0.0000 0.0000
As 3.2201 3.2201 0.0000
As 3.2201 6.4402 3.7216
```

Properties
**M_tot**: 0.00 μB per atom
**Energy of formation**: -7.4 kcal/mol of atoms


5.
This record from Alexandria describes crystalline KBeCd at its relaxed geometry. The functional is PBE.

Geometry as extended XYZ:
```
6
Lattice="-2.2156 -4.0578 0.0290 3.6982 -1.0624 -5.6660 3.3866 0.3124 5.9711" Properties=species:S:1:pos:R:3 pbc="T T T"
Cd 2.9832 -0.9819 3.3581
Cd 3.7706 -3.8400 0.2803
Be 1.5126 -2.8021 4.0122
Be 2.4927 -3.3480 2.3235
K 2.7910 -2.8555 -3.5825
K 2.6465 -0.6278 -0.3107
```

Properties
**M_tot**: 0.00 μB per atom
**Polymorph energy (0 for the lowest one)**: 0.0558 eV/atom
**Energy of formation**: 7.2 kcal/mol of atoms


6.
This record from Alexandria describes crystalline Na2CeCl4 at its relaxed geometry. The functional is PBE.

Geometry as extended XYZ:
```
7
Lattice="-1.0063 3.5843 4.2928 -3.1412 -3.9709 2.5792 3.8696 -2.6549 6.8846" Properties=species:S:1:pos:R:3 pbc="T T T"
Na -0.5204 -0.8367 4.3373
Na 0.2425 -2.2048 9.4193
Cl 1.6303 -1.7274 5.5853
Cl -1.9082 -1.3140 8.1713
Cl -0.5031 1.7922 2.1464
Cl -1.5706 -1.9854 1.2896
Ce 0.0000 0.0000 0.0000
```

Properties
**M_tot**: 0.22 μB per atom
**Polymorph energy (0 for the lowest one)**: 0.1781 eV/atom
**Raw formation energy**: -11.53 eV per formula unit


7.
This record from Alexandria describes crystalline CuAs3P at its relaxed geometry. The functional is PBE.

Geometry as extended XYZ:
```
5
Lattice="-3.3996 1.9875 2.5122 -1.0479 -4.1517 1.8665 3.0271 0.7948 3.4675" Properties=species:S:1:pos:R:3 pbc="T T T"
As -0.5240 -2.0759 0.9333
As -1.6998 0.9938 1.2561
As 1.5136 0.3974 1.7338
P -0.7102 -0.6847 3.9231
Cu 0.0000 0.0000 0.0000
```

Properties
**M_tot**: 0.00 μB per atom
**Polymorph energy (0 for the lowest one)**: 0.0000 eV/atom
**Energy of formation**: 20.3 kcal/mol of atoms


8.
This record from Alexandria describes crystalline Nd5HgTe4 at its relaxed geometry. The functional is PBE.

Geometry as extended XYZ:
```
10
Lattice="-3.1423 -2.8169 1.5230 2.9820 -1.7964 2.8300 -4.0579 12.9242 8.9237" Properties=species:S:1:pos:R:3 pbc="T T T"
Te -1.6568 4.2510 4.4442
Te -2.5614 4.0599 8.8324
Te -0.9039 -0.1930 4.3862
Te -3.3143 8.5039 8.8905
Hg 0.0000 0.0000 0.0000
Nd -1.7185 1.8972 6.5714
Nd -0.8260 2.1194 2.2157
Nd -3.3922 6.1915 11.0610
Nd -2.4996 6.4137 6.7052
Nd -0.0801 -2.3067 2.1765
```

Properties
**M_tot**: 0.00 μB per atom
**Polymorph energy (0 for the lowest one)**: 0.0259 eV/atom
**Raw formation energy**: -12.35 eV per formula unit


9.
This record from Alexandria describes crystalline ScSn2Sb at its relaxed geometry. The functional is PBE.

Geometry as extended XYZ:
```
8
Lattice="-2.5397 -6.4855 0.0757 5.9907 -2.3768 -2.6419 3.9260 -5.2262 4.4219" Properties=species:S:1:pos:R:3 pbc="T T T"
Sn 0.1246 -5.7041 0.8231
Sn 4.4267 -3.5557 -0.5368
Sn 4.1952 -7.2258 2.3733
Sn 6.0076 -11.6914 1.0519
Sc 5.8211 -6.0171 0.2485
Sc 1.7255 -4.4311 -1.2831
Sb 1.5559 -8.0714 1.6073
Sb 0.0000 0.0000 0.0000
```

Properties
**M_tot**: 0.00 μB per atom
**Raw formation energy**: 0.68 eV per formula unit


10.
This record from Alexandria describes crystalline Ac2HoAlSe6 at its relaxed geometry. The functional is PBE.

Geometry as extended XYZ:
```
20
Lattice="-5.3948 3.5630 2.7586 -4.8153 -3.6731 -4.6726 -1.3285 -7.2623 7.0778" Properties=species:S:1:pos:R:3 pbc="T T T"
Se -1.9801 -0.3357 0.0701
Se -6.0310 -2.7111 4.3195
Se -5.1997 -1.7964 -1.9921
Se -7.8504 -7.7461 1.9053
Se -7.6670 -0.6426 1.8966
Se -3.6881 0.3737 3.2585
Se -9.0452 -4.0150 2.4567
Se -9.5584 -7.0367 5.0938
Se -2.4933 -3.3573 2.7071
Se -6.3387 -5.5760 7.1559
Se -3.8715 -6.7298 3.2672
Se -5.5075 -4.6613 0.8444
Al -3.0719 -5.4677 1.2026
Al -2.6974 1.7815 1.3793
Ho -2.4076 -1.8366 -2.3363
Ho -3.3616 -1.8496 4.9182
Ac -6.6650 -2.3264 7.5082
Ac -6.7420 -5.7566 4.0228
Ac -4.7965 -1.6158 1.1410
Ac -4.8735 -5.0460 -2.3443
```

Properties
**M_tot**: 0.00 μB per atom
**Raw formation energy**: -16.88 eV per formula unit


11.
This record from Alexandria describes crystalline PuCuAg2O4 at its relaxed geometry. The functional is PBE.

Geometry as extended XYZ:
```
16
Lattice="6.0797 0.0000 0.0000 0.0000 5.5782 0.0000 0.0000 0.0000 7.2515" Properties=species:S:1:pos:R:3 pbc="T T T"
Cu 3.2167 5.0322 0.0000
Cu 0.1768 0.5460 3.6257
Pu 5.8494 1.1617 0.0000
Pu 2.8095 4.4165 3.6257
O 4.8143 4.8305 3.6257
O 2.5088 3.9476 5.5999
O 5.5487 1.6305 5.2773
O 5.1181 4.7489 0.0000
O 2.5088 3.9476 1.6516
O 2.0782 0.8293 3.6257
O 1.7744 0.7477 0.0000
O 5.5487 1.6305 1.9742
Ag 0.1512 3.8886 1.9321
Ag 3.1911 1.6895 1.6937
Ag 0.1512 3.8886 5.3194
Ag 3.1911 1.6895 5.5578
```

Properties
**M_tot**: 0.38 μB per atom
**Raw formation energy**: -8.52 eV per formula unit


12.
This record from Alexandria describes crystalline Nd2As7Pd12 at its relaxed geometry. The functional is PBE.

Geometry as extended XYZ:
```
21
Lattice="4.1627 0.0000 0.0000 0.0000 8.7493 -5.0514 0.0000 0.0000 10.1028" Properties=species:S:1:pos:R:3 pbc="T T T"
Nd 1.0324 2.9164 5.0514
Nd 3.1303 5.8329 0.0000
As 1.0610 3.5821 -0.8952
As 1.0610 7.7335 -1.5016
As 3.1016 2.5663 2.6545
As 1.0610 6.1829 2.3969
As 3.1016 1.0157 6.5530
As 2.0813 0.0000 0.0000
As 3.1016 5.1672 5.9466
Pd 0.9468 6.5359 4.8993
Pd 3.2158 7.7743 3.0585
Pd 1.0563 5.4369 -2.5511
Pd 0.9468 1.2384 8.2620
Pd 3.2158 7.5109 -3.2106
Pd 3.1064 0.5092 4.1187
Pd 1.0563 3.8215 1.6184
Pd 3.1064 4.9277 3.4330
Pd 0.9468 0.9750 1.9929
Pd 1.0563 8.2401 0.9326
Pd 3.1064 3.3124 7.6025
Pd 3.2158 2.2134 0.1521
```

Properties
**M_tot**: 0.00 μB per atom
**Energy of formation**: -14.5 kcal/mol of atoms